Record 1
# Tl2RePt (SCAN, PBEsol geometry)
data_Tl2RePt
_cell_length_a 4.720
_cell_length_b 4.720
_cell_length_c 4.720
_cell_angle_alpha 60.00
_cell_angle_beta 60.00
_cell_angle_gamma 60.00
_symmetry_space_group_name_H-M 'P 1'
_symmetry_Int_Tables_number 1
loop_
_symmetry_equiv_pos_as_xyz
'x,y,z'
loop_
_atom_site_label
_atom_site_fract_x
_atom_site_fract_y
_atom_site_fract_z
_atom_site_occupancy
Tl1 0.000 0.000 0.000 1
Tl2 0.250 0.250 0.250 1
Re1 0.750 0.750 0.750 1
Pt1 0.500 0.500 0.500 1
# ΔE_f	1019	meV per atom
# relative energy among the computed polymorphs	0.356	eV per atom
# calculated volume	18.58	Å³/atom
# symmetry	No. 216

---

Record 2
# TlRe2Pt (SCAN, PBEsol geometry)
data_TlRe2Pt
_cell_length_a 4.856
_cell_length_b 4.856
_cell_length_c 4.856
_cell_angle_alpha 130.96
_cell_angle_beta 130.96
_cell_angle_gamma 71.87
_symmetry_space_group_name_H-M 'P 1'
_symmetry_Int_Tables_number 1
loop_
_symmetry_equiv_pos_as_xyz
'x,y,z'
loop_
_atom_site_label
_atom_site_fract_x
_atom_site_fract_y
_atom_site_fract_z
_atom_site_occupancy
Tl1 0.000 0.000 0.000 1
Re1 0.250 0.750 0.500 1
Re2 0.500 0.500 0.000 1
Pt1 0.750 0.250 0.500 1
# ΔE_f	687	meV per atom
# relative energy among the computed polymorphs	0.000	eV per atom
# calculated volume	15.96	Å³/atom
# symmetry	No. 119

---

Record 3
# TlRePt2 (SCAN, PBEsol geometry)
data_TlRePt2
_cell_length_a 4.792
_cell_length_b 4.792
_cell_length_c 5.072
_cell_angle_alpha 97.37
_cell_angle_beta 97.37
_cell_angle_gamma 34.73
_symmetry_space_group_name_H-M 'P 1'
_symmetry_Int_Tables_number 1
loop_
_symmetry_equiv_pos_as_xyz
'x,y,z'
loop_
_atom_site_label
_atom_site_fract_x
_atom_site_fract_y
_atom_site_fract_z
_atom_site_occupancy
Tl1 0.000 0.000 0.000 1
Re1 0.500 0.500 0.500 1
Pt1 0.242 0.242 0.727 1
Pt2 0.758 0.758 0.273 1
# ΔE_f	445	meV per atom
# relative energy among the computed polymorphs	0.061	eV per atom
# calculated volume	16.44	Å³/atom
# symmetry	No. 12

---

Record 4
# Tl2RePt (SCAN, PBEsol geometry)
data_Tl2RePt
_cell_length_a 5.588
_cell_length_b 5.588
_cell_length_c 5.588
_cell_angle_alpha 148.92
_cell_angle_beta 123.53
_cell_angle_gamma 65.86
_symmetry_space_group_name_H-M 'P 1'
_symmetry_Int_Tables_number 1
loop_
_symmetry_equiv_pos_as_xyz
'x,y,z'
loop_
_atom_site_label
_atom_site_fract_x
_atom_site_fract_y
_atom_site_fract_z
_atom_site_occupancy
Tl1 0.246 0.246 0.000 1
Tl2 0.754 0.754 0.000 1
Re1 0.500 0.000 0.500 1
Pt1 0.000 0.500 0.500 1
# ΔE_f	862	meV per atom
# relative energy among the computed polymorphs	0.199	eV per atom
# calculated volume	18.56	Å³/atom
# symmetry	No. 71

---

Record 5
# RePt4W (SCAN, PBEsol geometry)
data_RePt4W
_cell_length_a 5.086
_cell_length_b 5.086
_cell_length_c 5.086
_cell_angle_alpha 60.00
_cell_angle_beta 60.00
_cell_angle_gamma 60.00
_symmetry_space_group_name_H-M 'P 1'
_symmetry_Int_Tables_number 1
loop_
_symmetry_equiv_pos_as_xyz
'x,y,z'
loop_
_atom_site_label
_atom_site_fract_x
_atom_site_fract_y
_atom_site_fract_z
_atom_site_occupancy
Re1 0.000 0.000 0.000 1
Pt1 0.375 0.375 0.375 1
Pt2 0.375 0.375 0.876 1
Pt3 0.375 0.876 0.375 1
Pt4 0.876 0.375 0.375 1
W1 0.750 0.750 0.750 1
# ΔE_f	429	meV per atom
# calculated volume	15.51	Å³/atom
# symmetry	No. 216

---

Record 6
# RePt2W (SCAN, PBEsol geometry)
data_RePt2W
_cell_length_a 4.413
_cell_length_b 4.413
_cell_length_c 4.413
_cell_angle_alpha 60.00
_cell_angle_beta 60.00
_cell_angle_gamma 60.00
_symmetry_space_group_name_H-M 'P 1'
_symmetry_Int_Tables_number 1
loop_
_symmetry_equiv_pos_as_xyz
'x,y,z'
loop_
_atom_site_label
_atom_site_fract_x
_atom_site_fract_y
_atom_site_fract_z
_atom_site_occupancy
Re1 0.000 0.000 0.000 1
Pt1 0.500 0.500 0.500 1
Pt2 0.750 0.750 0.750 1
W1 0.250 0.250 0.250 1
# ΔE_f	140	meV per atom
# relative energy among the computed polymorphs	0.192	eV per atom
# calculated volume	15.19	Å³/atom
# symmetry	No. 216

---

Record 7
# RePt2W (SCAN, PBEsol geometry)
data_RePt2W
_cell_length_a 9.213
_cell_length_b 9.213
_cell_length_c 9.213
_cell_angle_alpha 17.19
_cell_angle_beta 17.19
_cell_angle_gamma 17.19
_symmetry_space_group_name_H-M 'P 1'
_symmetry_Int_Tables_number 1
loop_
_symmetry_equiv_pos_as_xyz
'x,y,z'
loop_
_atom_site_label
_atom_site_fract_x
_atom_site_fract_y
_atom_site_fract_z
_atom_site_occupancy
Re1 0.000 0.000 0.000 1
Pt1 0.250 0.250 0.250 1
Pt2 0.750 0.750 0.750 1
W1 0.500 0.500 0.500 1
# ΔE_f	-32	meV per atom
# relative energy among the computed polymorphs	0.020	eV per atom
# calculated volume	14.90	Å³/atom
# symmetry	No. 166

---

Record 8
# RePt2W (SCAN, PBEsol geometry)
data_RePt2W
_cell_length_a 4.812
_cell_length_b 4.812
_cell_length_c 4.760
_cell_angle_alpha 99.63
_cell_angle_beta 99.63
_cell_angle_gamma 33.29
_symmetry_space_group_name_H-M 'P 1'
_symmetry_Int_Tables_number 1
loop_
_symmetry_equiv_pos_as_xyz
'x,y,z'
loop_
_atom_site_label
_atom_site_fract_x
_atom_site_fract_y
_atom_site_fract_z
_atom_site_occupancy
Re1 0.000 0.000 0.000 1
Pt1 0.251 0.251 0.752 1
Pt2 0.749 0.749 0.248 1
W1 0.500 0.500 0.500 1
# ΔE_f	-52	meV per atom
# relative energy among the computed polymorphs	0.000	eV per atom
# calculated volume	14.89	Å³/atom
# symmetry	No. 12

---

Record 9
# RePt2W (SCAN, PBEsol geometry)
data_RePt2W
_cell_length_a 9.264
_cell_length_b 9.264
_cell_length_c 9.264
_cell_angle_alpha 17.11
_cell_angle_beta 17.11
_cell_angle_gamma 17.11
_symmetry_space_group_name_H-M 'P 1'
_symmetry_Int_Tables_number 1
loop_
_symmetry_equiv_pos_as_xyz
'x,y,z'
loop_
_atom_site_label
_atom_site_fract_x
_atom_site_fract_y
_atom_site_fract_z
_atom_site_occupancy
Re1 0.000 0.000 0.000 1
Pt1 0.253 0.253 0.253 1
Pt2 0.499 0.499 0.499 1
W1 0.752 0.752 0.752 1
# ΔE_f	-7	meV per atom
# relative energy among the computed polymorphs	0.046	eV per atom
# calculated volume	15.01	Å³/atom
# symmetry	No. 160

---

Record 10
# YRePt2 (SCAN, PBEsol geometry)
data_YRePt2
_cell_length_a 4.895
_cell_length_b 4.895
_cell_length_c 5.190
_cell_angle_alpha 98.92
_cell_angle_beta 98.92
_cell_angle_gamma 33.65
_symmetry_space_group_name_H-M 'P 1'
_symmetry_Int_Tables_number 1
loop_
_symmetry_equiv_pos_as_xyz
'x,y,z'
loop_
_atom_site_label
_atom_site_fract_x
_atom_site_fract_y
_atom_site_fract_z
_atom_site_occupancy
Y1 0.000 0.000 0.000 1
Re1 0.500 0.500 0.500 1
Pt1 0.241 0.241 0.721 1
Pt2 0.759 0.759 0.279 1
# ΔE_f	-145	meV per atom
# calculated volume	17.00	Å³/atom
# symmetry	No. 12

---

Record 11
# Y2RePt (SCAN, PBEsol geometry)
data_Y2RePt
_cell_length_a 9.422
_cell_length_b 9.422
_cell_length_c 9.422
_cell_angle_alpha 20.44
_cell_angle_beta 20.44
_cell_angle_gamma 20.44
_symmetry_space_group_name_H-M 'P 1'
_symmetry_Int_Tables_number 1
loop_
_symmetry_equiv_pos_as_xyz
'x,y,z'
loop_
_atom_site_label
_atom_site_fract_x
_atom_site_fract_y
_atom_site_fract_z
_atom_site_occupancy
Y1 0.000 0.000 0.000 1
Y2 0.216 0.216 0.216 1
Re1 0.472 0.472 0.472 1
Pt1 0.739 0.739 0.739 1
# ΔE_f	324	meV per atom
# calculated volume	22.32	Å³/atom
# symmetry	No. 160

---

Record 12
# ZrRe2Pt (SCAN, PBEsol geometry)
data_ZrRe2Pt
_cell_length_a 3.345
_cell_length_b 3.345
_cell_length_c 5.831
_cell_angle_alpha 90.00
_cell_angle_beta 90.00
_cell_angle_gamma 90.00
_symmetry_space_group_name_H-M 'P 1'
_symmetry_Int_Tables_number 1
loop_
_symmetry_equiv_pos_as_xyz
'x,y,z'
loop_
_atom_site_label
_atom_site_fract_x
_atom_site_fract_y
_atom_site_fract_z
_atom_site_occupancy
Zr1 0.000 0.000 0.000 1
Re1 0.500 0.500 0.275 1
Re2 0.500 0.500 0.725 1
Pt1 0.000 0.000 0.500 1
# ΔE_f	26	meV per atom
# relative energy among the computed polymorphs	0.322	eV per atom
# calculated volume	16.31	Å³/atom
# symmetry	No. 123

---

Number 1: uncorrected energy -70.4830 eV/atom. Number 2: uncorrected energy -70.4996 eV/atom. Number 3: uncorrected energy -70.5159 eV/atom. Number 4: uncorrected energy -70.6397 eV/atom. Number 5: uncorrected energy -69.8309 eV/atom. Number 6: uncorrected energy -70.1531 eV/atom. Number 7: uncorrected energy -70.3251 eV/atom. Number 8: uncorrected energy -70.3454 eV/atom. Number 9: uncorrected energy -70.2999 eV/atom. Number 10: uncorrected energy -59.9771 eV/atom. Number 11: uncorrected energy -48.9203 eV/atom. Number 12: uncorrected energy -60.7460 eV/atom.